Record 1
Compound: YMgS3
Source: the Alexandria database
Functional: PBE-GGA
Structure: optimized geometry

The space group is C2/m (No. 12) and the conventional cell measures 7.741, 11.474 and 6.778 Å, with angles of 90.00, 119.88 and 90.00 degrees. The distinct sites, in fractional coordinates, are Y at (0.218, 0.000, 0.251), Mg at (0.000, 0.339, 0.000), S at (0.078, 0.151, 0.852) and S at (0.082, 0.500, 0.290).

The calculation puts the volume at 26.1 A^3/atom. The uncorrected formation energy comes out at -1.26 eV/atom.

---

Record 2
Compound: Y2MgS
Source: the Alexandria database
Functional: PBE-GGA
Structure: optimized geometry

The space group is I-42d (No. 122) and the conventional cell measures 8.043, 8.043 and 6.695 Å, with angles of 90.00, 90.00 and 90.00 degrees. The distinct sites, in fractional coordinates, are Y at (0.193, 0.250, 0.125), Mg at (0.000, 0.000, 0.500) and S at (0.000, 0.000, 0.000).

The calculation puts the volume at 27.1 A^3/atom. The uncorrected formation energy comes out at -0.60 eV/atom.

---

Record 3
Compound: Y2MgS
Source: the Alexandria database
Functional: PBE-GGA
Structure: optimized geometry

The space group is R-3m (No. 166, hexagonal axes) and the conventional cell measures 3.6932, 3.6932 and 29.3138 Å, with angles of 90.00, 90.00 and 120.00 degrees. The distinct sites, in fractional coordinates, are Y at (0.0000, 0.0000, 0.1110), Mg at (0.0000, 0.0000, 0.0000) and S at (0.0000, 0.0000, 0.5000).

The calculation puts the volume at 28.9 A^3/atom. The uncorrected formation energy comes out at -0.70 eV/atom.

---

In order of appearance, total magnetization = 4.04; 3.98; 0.00 μB per cell.